No. 1
The following is a DFT calculation (PBE-GGA) of a relaxed RbIO3 crystal.

The structure in POSCAR format:
```
RbIO3
1.0
7.336 0.000 0.000
0.000 9.315 0.000
0.000 0.000 6.786
Rb I O
4 4 12
direct
0.000 0.000 0.000
0.000 0.500 0.000
0.500 0.000 0.500
0.500 0.500 0.500
0.031 0.250 0.500
0.469 0.750 0.000
0.531 0.250 0.000
0.969 0.750 0.500
0.135 0.250 0.256
0.144 0.101 0.624
0.144 0.399 0.624
0.356 0.601 0.124
0.356 0.899 0.124
0.365 0.750 0.756
0.635 0.250 0.244
0.644 0.101 0.876
0.644 0.399 0.876
0.856 0.601 0.376
0.856 0.899 0.376
0.865 0.750 0.744
```

V (Å³ per cell): 463.7
Fermi-level density of states (states/eV/cell): 0.00
Formation energy without anion corrections (eV per atom): -0.9055
ρ (g/cm³): 3.73
Total magnetization (μB/f.u.): 0.0

No. 2
The following is a DFT calculation (PBE-GGA) of a relaxed AlCoCuPd crystal.

The structure in POSCAR format:
```
AlCoCuPd
1.0
0.000 2.946 2.946
2.946 0.000 2.946
2.946 2.946 0.000
Al Co Cu Pd
1 1 1 1
direct
0.000 0.000 0.000
0.750 0.750 0.750
0.500 0.500 0.500
0.250 0.250 0.250
```

V (Å³ per cell): 51.1
Fermi-level density of states (states/eV/cell): 2.99
ρ (g/cm³): 8.31
Total magnetization (μB/f.u.): 0.1
Formation enthalpy at 0 K (eV/atom): -0.340

No. 3
The following is a DFT calculation (PBE-GGA) of a relaxed LiY2Sc crystal.

The structure in POSCAR format:
```
LiY2Sc
1.0
0.000 3.797 3.797
3.797 0.000 3.797
3.797 3.797 0.000
Li Y Sc
1 2 1
direct
0.000 0.000 0.000
0.500 0.500 0.500
0.750 0.750 0.750
0.250 0.250 0.250
```

V (Å³ per cell): 109.5
Fermi-level density of states (states/eV/cell): 3.94
ρ (g/cm³): 3.48
Total magnetization (μB/f.u.): 0.0
Formation enthalpy at 0 K (eV/atom): 0.236
Excess energy over the best structure of this formula in the dataset (meV per atom): 158

No. 4
The following is a DFT calculation (PBE-GGA) of a relaxed HfZr2CdN crystal.

The structure in POSCAR format:
```
HfZr2CdN
1.0
4.548 0.000 0.000
0.000 4.548 0.000
0.000 0.000 4.415
Hf Zr Cd N
1 2 1 1
direct
0.000 0.000 0.000
0.000 0.500 0.500
0.500 0.000 0.500
0.500 0.500 0.000
0.000 0.000 0.500
```

V (Å³ per cell): 91.3
Fermi-level density of states (states/eV/cell): 2.97
Formation energy without anion corrections (eV per atom): -0.7730
ρ (g/cm³): 8.86
Total magnetization (μB/f.u.): 0.0

What is the ρ in the fourth record? 8.86 g/cm³

Please write out number 3 again, unchanged.
The following is a DFT calculation (PBE-GGA) of a relaxed LiY2Sc crystal.

The structure in POSCAR format:
```
LiY2Sc
1.0
0.000 3.797 3.797
3.797 0.000 3.797
3.797 3.797 0.000
Li Y Sc
1 2 1
direct
0.000 0.000 0.000
0.500 0.500 0.500
0.750 0.750 0.750
0.250 0.250 0.250
```

V (Å³ per cell): 109.5
Fermi-level density of states (states/eV/cell): 3.94
ρ (g/cm³): 3.48
Total magnetization (μB/f.u.): 0.0
Formation enthalpy at 0 K (eV/atom): 0.236
Excess energy over the best structure of this formula in the dataset (meV per atom): 158

Repeat the fourth record exactly.
The following is a DFT calculation (PBE-GGA) of a relaxed HfZr2CdN crystal.

The structure in POSCAR format:
```
HfZr2CdN
1.0
4.548 0.000 0.000
0.000 4.548 0.000
0.000 0.000 4.415
Hf Zr Cd N
1 2 1 1
direct
0.000 0.000 0.000
0.000 0.500 0.500
0.500 0.000 0.500
0.500 0.500 0.000
0.000 0.000 0.500
```

V (Å³ per cell): 91.3
Fermi-level density of states (states/eV/cell): 2.97
Formation energy without anion corrections (eV per atom): -0.7730
ρ (g/cm³): 8.86
Total magnetization (μB/f.u.): 0.0

What is the Fermi-level density of states in the fourth record? 2.97 states/eV/cell